The following is a GGA+U calculation of a relaxed structure of LiCrAs2O8, from Alexandria via LeMat-Bulk.

The space group is P-3 (No. 147) and the conventional cell measures 5.0522, 5.0522 and 6.9506 Å, with angles of 90.00, 90.00 and 120.00 degrees. Symmetry generates all atoms from Li at (0.0000, 0.0000, 0.0000), Cr at (0.0000, 0.0000, 0.5000), As at (0.3333, 0.6667, 0.2640), O at (0.0310, 0.7135, 0.3324) and O at (0.3333, 0.6667, 0.0159).

The value obtained for the volume is 12.8 Å³/atom. Its total energy is -6.02 eV/atom. As for the density of states at the Fermi level: 5.96 states/eV per cell. The calculated density is 3.6 g/cm3.